1.
First-principles (meta-GGA SCAN) data for HgPtAu2 at its PBEsol-relaxed geometry, as listed in Alexandria via LeMat-Bulk.

Structure (CIF):
```
data_HgPtAu2
_space_group_name_H-M_alt 'P 1'
_space_group_IT_number 1
_space_group_name_Hall 'P 1'
_cell_length_a 5.681
_cell_length_b 5.681
_cell_length_c 2.911
_cell_angle_alpha 104.49
_cell_angle_beta 104.49
_cell_angle_gamma 121.00
loop_
_atom_site_label
_atom_site_fract_x
_atom_site_fract_y
_atom_site_fract_z
_atom_site_occupancy
Hg1 0.000 0.000 0.000 1
Pt1 0.500 0.500 0.000 1
Au1 0.000 0.500 0.500 1
Au2 0.500 0.000 0.500 1
```

Values from the calculation:
As for the symmetry: C2/m (12). The calculation puts the total magnetic moment at 0.0 μB per formula unit. As for the crystal system: monoclinic. The calculation puts the formation energy at 0.263 eV per formula unit.

2.
First-principles (meta-GGA SCAN) data for CsSr2TiPd at its PBEsol-relaxed geometry, as listed in Alexandria via LeMat-Bulk.

Structure (CIF):
```
data_CsSr2TiPd
_space_group_name_H-M_alt 'P 1'
_space_group_IT_number 1
_space_group_name_Hall 'P 1'
_cell_length_a 5.816
_cell_length_b 5.816
_cell_length_c 6.254
_cell_angle_alpha 90.00
_cell_angle_beta 90.00
_cell_angle_gamma 90.00
loop_
_atom_site_label
_atom_site_fract_x
_atom_site_fract_y
_atom_site_fract_z
_atom_site_occupancy
Cs1 0.000 0.000 0.000 1
Sr1 0.000 0.500 0.500 1
Sr2 0.500 0.000 0.500 1
Ti1 0.500 0.500 0.000 1
Pd1 0.000 0.000 0.500 1
```

Values from the calculation:
As for the symmetry: P4/mmm (123). The calculation puts the total magnetic moment at 3.6 μB per formula unit. As for the crystal system: tetragonal. The calculation puts the formation energy at 2.192 eV per formula unit.